(1)
Entry from the Alexandria database: an optimized crystal structure of Tb6CeY5 (PBE).

## Properties
D(E_F): 19.54 states/eV/cell
Final energy: -65.57 eV/cell
M_tot: 1.14 μB/f.u.

Lattice parameters (Å, degrees): 9.434 9.434 9.434 148.98 115.32 73.46
Sites, in units of the cell vectors:
1 Tb 0.084 0.335 0.749
2 Tb 0.247 0.000 0.247
3 Tb 0.414 0.665 0.749
4 Tb 0.586 0.335 0.251
5 Tb 0.753 0.000 0.753
6 Tb 0.916 0.665 0.251
7 Ce 0.000 0.500 0.500
8 Y 0.166 0.166 0.000
9 Y 0.333 0.833 0.500
10 Y 0.500 0.500 0.000
11 Y 0.667 0.167 0.500
12 Y 0.834 0.834 0.000

***

(2)
Entry from the Alexandria database: an optimized crystal structure of Tb2CeY3 (PBE).

## Properties
ΔE to the lowest computed polymorph: 0 meV per atom
D(E_F): 10.64 states/eV/cell
Final energy: -34.24 eV/cell
M_tot: 1.06 μB/f.u.

Lattice parameters (Å, degrees): 7.968 7.968 5.033 90.00 90.00 143.06
Sites, in units of the cell vectors:
1 Tb 0.167 0.833 0.000
2 Tb 0.833 0.167 0.000
3 Ce 0.500 0.500 0.000
4 Y 0.000 0.000 0.500
5 Y 0.335 0.665 0.500
6 Y 0.665 0.335 0.500

***

(3)
Entry from the Alexandria database: an optimized crystal structure of Tb5CeY8 (PBE).

## Properties
D(E_F): 26.81 states/eV/cell
Final energy: -77.11 eV/cell
M_tot: 1.63 μB/f.u.

Lattice parameters (Å, degrees): 8.457 8.457 8.457 111.60 111.60 105.29
Sites, in units of the cell vectors:
1 Tb 0.000 0.000 0.000
2 Tb 0.315 0.214 0.678
3 Tb 0.363 0.685 0.899
4 Tb 0.536 0.637 0.322
5 Tb 0.786 0.464 0.101
6 Ce 0.750 0.250 0.500
7 Y 0.028 0.779 0.607
8 Y 0.068 0.330 0.903
9 Y 0.172 0.422 0.393
10 Y 0.221 0.828 0.249
11 Y 0.426 0.165 0.097
12 Y 0.578 0.972 0.751
13 Y 0.670 0.574 0.739
14 Y 0.835 0.932 0.261

***

(4)
Entry from the Alexandria database: an optimized crystal structure of Tb6CeY (PBE).

## Properties
ΔE to the lowest computed polymorph: 0 meV per atom
D(E_F): 13.55 states/eV/cell
Final energy: -39.82 eV/cell
M_tot: 0.92 μB/f.u.

Lattice parameters (Å, degrees): 5.034 5.034 10.054 90.00 90.00 90.00
Sites, in units of the cell vectors:
1 Tb 0.000 0.000 0.000
2 Tb 0.000 0.000 0.500
3 Tb 0.000 0.500 0.248
4 Tb 0.000 0.500 0.752
5 Tb 0.500 0.000 0.248
6 Tb 0.500 0.000 0.752
7 Ce 0.500 0.500 0.000
8 Y 0.500 0.500 0.500

***

(5)
Entry from the Alexandria database: an optimized crystal structure of TbCe4Y (PBE).

## Properties
D(E_F): 18.57 states/eV/cell
Final energy: -33.60 eV/cell
M_tot: 4.59 μB/f.u.

Lattice parameters (Å, degrees): 6.332 6.332 6.332 60.00 60.00 60.00
Sites, in units of the cell vectors:
1 Tb 0.000 0.000 0.000
2 Ce 0.376 0.376 0.376
3 Ce 0.376 0.376 0.873
4 Ce 0.376 0.873 0.376
5 Ce 0.873 0.376 0.376
6 Y 0.750 0.750 0.750

***

(6)
Entry from the Alexandria database: an optimized crystal structure of TbCeY3 (PBE).

## Properties
ΔE to the lowest computed polymorph: 0 meV per atom
D(E_F): 22.34 states/eV/cell
Final energy: -59.42 eV/cell
M_tot: 0.84 μB/f.u.

Lattice parameters (Å, degrees): 3.610 8.482 11.117 106.45 99.34 90.01
Sites, in units of the cell vectors:
1 Tb 0.116 0.019 0.233
2 Tb 0.884 0.981 0.767
3 Ce 0.313 0.618 0.627
4 Ce 0.687 0.382 0.373
5 Y 0.084 0.584 0.168
6 Y 0.283 0.184 0.565
7 Y 0.483 0.783 0.966
8 Y 0.517 0.217 0.034
9 Y 0.717 0.816 0.435
10 Y 0.916 0.416 0.832

***

(7)
Entry from the Alexandria database: an optimized crystal structure of Tb5CeY6 (PBE).

## Properties
D(E_F): 19.97 states/eV/cell
Final energy: -67.42 eV/cell
M_tot: 1.16 μB/f.u.

Lattice parameters (Å, degrees): 6.182 6.182 11.809 95.01 95.01 119.96
Sites, in units of the cell vectors:
1 Tb 0.000 0.000 0.000
2 Tb 0.167 0.833 0.500
3 Tb 0.333 0.667 0.000
4 Tb 0.667 0.333 0.000
5 Tb 0.833 0.167 0.500
6 Ce 0.500 0.500 0.500
7 Y 0.086 0.417 0.250
8 Y 0.252 0.252 0.750
9 Y 0.417 0.086 0.250
10 Y 0.583 0.914 0.750
11 Y 0.748 0.748 0.250
12 Y 0.914 0.583 0.750

***

(8)
Entry from the Alexandria database: an optimized crystal structure of Tb2CeY4 (PBE).

## Properties
ΔE to the lowest computed polymorph: 153 meV per atom
D(E_F): 31.70 states/eV/cell
Final energy: -79.46 eV/cell
M_tot: 0.85 μB/f.u.

Lattice parameters (Å, degrees): 5.607 5.607 16.796 90.00 90.00 119.67
Sites, in units of the cell vectors:
1 Tb 0.165 0.835 0.556
2 Tb 0.165 0.835 0.944
3 Tb 0.835 0.165 0.056
4 Tb 0.835 0.165 0.444
5 Ce 0.497 0.503 0.750
6 Ce 0.503 0.497 0.250
7 Y 0.163 0.837 0.750
8 Y 0.170 0.830 0.146
9 Y 0.170 0.830 0.354
10 Y 0.500 0.500 0.000
11 Y 0.500 0.500 0.500
12 Y 0.830 0.170 0.646
13 Y 0.830 0.170 0.854
14 Y 0.837 0.163 0.250

***

(9)
Entry from the Alexandria database: an optimized crystal structure of Tb2CeY12 (PBE).

## Properties
D(E_F): 60.64 states/eV/cell
Final energy: -174.61 eV/cell
M_tot: 0.07 μB/f.u.

Lattice parameters (Å, degrees): 6.443 6.443 25.123 90.00 90.00 90.00
Sites, in units of the cell vectors:
1 Tb 0.250 0.750 0.225
2 Tb 0.250 0.750 0.775
3 Tb 0.750 0.250 0.225
4 Tb 0.750 0.250 0.775
5 Ce 0.250 0.750 0.500
6 Ce 0.750 0.250 0.500
7 Y 0.067 0.567 0.385
8 Y 0.067 0.933 0.615
9 Y 0.081 0.581 0.061
10 Y 0.081 0.919 0.939
11 Y 0.250 0.250 0.161
12 Y 0.250 0.250 0.285
13 Y 0.250 0.250 0.715
14 Y 0.250 0.250 0.839
15 Y 0.419 0.581 0.939
16 Y 0.419 0.919 0.061
17 Y 0.433 0.567 0.615
18 Y 0.433 0.933 0.385
19 Y 0.567 0.067 0.615
20 Y 0.567 0.433 0.385
21 Y 0.581 0.081 0.939
22 Y 0.581 0.419 0.061
23 Y 0.750 0.750 0.161
24 Y 0.750 0.750 0.285
25 Y 0.750 0.750 0.715
26 Y 0.750 0.750 0.839
27 Y 0.919 0.081 0.061
28 Y 0.919 0.419 0.939
29 Y 0.933 0.067 0.385
30 Y 0.933 0.433 0.615

***

(10)
Entry from the Alexandria database: an optimized crystal structure of Tb2CeY (PBE).

## Properties
ΔE to the lowest computed polymorph: 64 meV per atom
D(E_F): 16.06 states/eV/cell
Final energy: -42.35 eV/cell
M_tot: 0.36 μB/f.u.

Lattice parameters (Å, degrees): 11.655 11.655 6.430 94.08 94.08 16.87
Sites, in units of the cell vectors:
1 Tb 0.123 0.123 0.037
2 Tb 0.375 0.375 0.463
3 Tb 0.625 0.625 0.537
4 Tb 0.877 0.877 0.963
5 Ce 0.498 0.498 0.789
6 Ce 0.502 0.502 0.211
7 Y 0.250 0.250 0.744
8 Y 0.750 0.750 0.256

***

no.,energy of formation from the pure elements (meV per atom)
1,39
2,58
3,264
4,45
5,205
6,49
7,38
8,188
9,364
10,121